# CuHg2Pd3 | the Alexandria database | PBE-GGA | relaxed
data_CuHg2Pd3
_chemical_formula_sum 'Cu4 Hg8 Pd12'
_space_group_name_H-M_alt 'C m m m'
_space_group_IT_number 65
_space_group_name_Hall '-C 2 2'
_cell_length_a 4.313
_cell_length_b 12.998
_cell_length_c 7.162
_cell_angle_alpha 90.00
_cell_angle_beta 90.00
_cell_angle_gamma 90.00
loop_
_atom_site_label
_atom_site_type_symbol
_atom_site_fract_x
_atom_site_fract_y
_atom_site_fract_z
Cu1 Cu 0.000 0.166 0.000
Hg1 Hg 0.000 0.167 0.500
Hg2 Hg 0.000 0.500 0.000
Hg3 Hg 0.000 0.500 0.500
Pd1 Pd 0.000 0.000 0.240
Pd2 Pd 0.000 0.327 0.226
# ΔH_f (0 K) = -0.9 eV per formula unit
# electronic total energy = -3.523 eV per atom

# Mg2F | the Alexandria database | PBE-GGA | relaxed
data_Mg2F
_chemical_formula_sum 'Mg4 F2'
_space_group_name_H-M_alt 'P m n 21'
_space_group_IT_number 31
_space_group_name_Hall 'P 2ac -2'
_cell_length_a 3.174
_cell_length_b 7.436
_cell_length_c 4.588
_cell_angle_alpha 90.00
_cell_angle_beta 90.00
_cell_angle_gamma 90.00
loop_
_atom_site_label
_atom_site_type_symbol
_atom_site_fract_x
_atom_site_fract_y
_atom_site_fract_z
Mg1 Mg 0.000 0.082 0.000
Mg2 Mg 0.000 0.664 0.012
F1 F 0.000 0.470 0.338
# formation energy (no corrections) = -1.5644 eV per atom
# electronic total energy = -3.251 eV per atom

| no. | volume (Å³ per atom) |
| --- | --- |
| 1 | 16.7 |
| 2 | 18.0 |